Here is CoSiAg at its PBEsol-relaxed geometry from Alexandria via LeMat-Bulk. Energies are from meta-GGA SCAN.

Summary:
Total magnetization: 0.00 Bohr magnetons per cell
Energy above the lowest structure with this stoichiometry: 0 meV per atom
Fermi-level density of states: 1.3 states/eV per cell
Space group: P-6m2, No. 187

a b c (Å): 2.972 3.915 3.915
angles (deg): 120.00 90.00 90.00
Atoms (fractional coordinates):
Si: 0.000 0.333 0.667
Ag: 0.500 0.000 0.000
Co: 0.000 0.667 0.333